Entry 1:
# YTlBi2 (PBE, relaxed)
# Formation energy from the elements = -0.938 eV/f.u.
# ρ = 8465 kg/m3
# Relative energy among the computed polymorphs = 166 meV per atom
data_YTlBi2
_chemical_formula_sum 'Y3 Tl3 Bi6'
_cell_length_a 5.1581
_cell_length_b 5.1581
_cell_length_c 18.1662
_cell_angle_alpha 90.00
_cell_angle_beta 90.00
_cell_angle_gamma 120.00
_space_group_name_H-M_alt 'R 3 m'
_space_group_IT_number 160
_space_group_name_Hall 'R 3 -2"'
loop_
_atom_site_label
_atom_site_fract_x
_atom_site_fract_y
_atom_site_fract_z
Y1 0.0000 0.0000 0.0000
Tl1 0.0000 0.0000 0.1796
Bi1 0.0000 0.0000 0.4113
Bi2 0.0000 0.0000 0.5908

=====

Entry 2:
# YTl2Bi (PBE, relaxed)
# Formation energy from the elements = -1.238 eV/f.u.
# ρ = 10257 kg/m3
data_YTl2Bi
_chemical_formula_sum 'Y1 Tl2 Bi1'
_cell_length_a 4.845
_cell_length_b 4.845
_cell_length_c 4.874
_cell_angle_alpha 90.00
_cell_angle_beta 90.00
_cell_angle_gamma 90.00
_space_group_name_H-M_alt 'P 4/m m m'
_space_group_IT_number 123
_space_group_name_Hall '-P 4 2'
loop_
_atom_site_label
_atom_site_fract_x
_atom_site_fract_y
_atom_site_fract_z
Y1 0.000 0.000 0.000
Tl1 0.000 0.500 0.500
Bi1 0.500 0.500 0.000

=====

Entry 3:
# Y5Tl2Bi (PBE, relaxed)
# Formation energy from the elements = -3.635 eV/f.u.
# ρ = 7493 kg/m3
data_Y5Tl2Bi
_chemical_formula_sum 'Y20 Tl8 Bi4'
_cell_length_a 8.248
_cell_length_b 8.248
_cell_length_c 13.843
_cell_angle_alpha 90.00
_cell_angle_beta 90.00
_cell_angle_gamma 90.00
_space_group_name_H-M_alt 'I 4/m c m'
_space_group_IT_number 140
_space_group_name_Hall '-I 4 2c'
loop_
_atom_site_label
_atom_site_fract_x
_atom_site_fract_y
_atom_site_fract_z
Y1 0.000 0.000 0.000
Y2 0.155 0.345 0.150
Tl1 0.142 0.358 0.500
Bi1 0.000 0.000 0.250

=====

Entry 4:
# Y2TlBi2 (PBE, relaxed)
# Formation energy from the elements = -1.209 eV/f.u.
# ρ = 8224 kg/m3
# Relative energy among the computed polymorphs = 292 meV per atom
data_Y2TlBi2
_chemical_formula_sum 'Y4 Tl2 Bi4'
_cell_length_a 4.414
_cell_length_b 4.414
_cell_length_c 16.585
_cell_angle_alpha 90.00
_cell_angle_beta 90.00
_cell_angle_gamma 90.00
_space_group_name_H-M_alt 'I 4/m m m'
_space_group_IT_number 139
_space_group_name_Hall '-I 4 2'
loop_
_atom_site_label
_atom_site_fract_x
_atom_site_fract_y
_atom_site_fract_z
Y1 0.000 0.000 0.104
Tl1 0.000 0.000 0.500
Bi1 0.000 0.500 0.250

=====

Entry 5:
# Y6Tl3Bi (PBE, relaxed)
# Formation energy from the elements = -2.725 eV/f.u.
# ρ = 7261 kg/m3
data_Y6Tl3Bi
_chemical_formula_sum 'Y24 Tl12 Bi4'
_cell_length_a 10.934
_cell_length_b 15.552
_cell_length_c 7.292
_cell_angle_alpha 90.00
_cell_angle_beta 90.00
_cell_angle_gamma 90.00
_space_group_name_H-M_alt 'C m c 21'
_space_group_IT_number 36
_space_group_name_Hall 'C 2c -2'
loop_
_atom_site_label
_atom_site_fract_x
_atom_site_fract_y
_atom_site_fract_z
Y1 0.000 0.026 0.000
Y2 0.000 0.294 0.068
Y3 0.197 0.289 0.500
Y4 0.221 0.453 0.174
Tl1 0.000 0.451 0.460
Tl2 0.156 0.121 0.294
Bi1 0.000 0.168 0.710

=====

Entry 6:
# Y7Tl2Bi2 (PBE, relaxed)
# Formation energy from the elements = -1.808 eV/f.u.
# ρ = 6445 kg/m3
data_Y7Tl2Bi2
_chemical_formula_sum 'Y14 Tl4 Bi4'
_cell_length_a 9.429
_cell_length_b 11.022
_cell_length_c 7.185
_cell_angle_alpha 90.00
_cell_angle_beta 90.00
_cell_angle_gamma 90.00
_space_group_name_H-M_alt 'C m m m'
_space_group_IT_number 65
_space_group_name_Hall '-C 2 2'
loop_
_atom_site_label
_atom_site_fract_x
_atom_site_fract_y
_atom_site_fract_z
Y1 0.000 0.000 0.000
Y2 0.000 0.500 0.258
Y3 0.250 0.250 0.265
Tl1 0.000 0.277 0.000
Bi1 0.198 0.000 0.500

=====

Entry 7:
# Y5TlBi2 (PBE, relaxed)
# Formation energy from the elements = -2.325 eV/f.u.
# ρ = 7048 kg/m3
data_Y5TlBi2
_chemical_formula_sum 'Y20 Tl4 Bi8'
_cell_length_a 5.839
_cell_length_b 11.757
_cell_length_c 14.646
_cell_angle_alpha 90.00
_cell_angle_beta 90.00
_cell_angle_gamma 90.00
_space_group_name_H-M_alt 'C m c m'
_space_group_IT_number 63
_space_group_name_Hall '-C 2c 2'
loop_
_atom_site_label
_atom_site_fract_x
_atom_site_fract_y
_atom_site_fract_z
Y1 0.000 0.074 0.100
Y2 0.000 0.379 0.048
Y3 0.000 0.422 0.750
Tl1 0.000 0.288 0.250
Bi1 0.000 0.201 0.615

=====

Entry 8:
# YTl2Bi (PBE, relaxed)
# Formation energy from the elements = -0.528 eV/f.u.
# ρ = 9480 kg/m3
data_YTl2Bi
_chemical_formula_sum 'Y4 Tl8 Bi4'
_cell_length_a 8.775
_cell_length_b 8.775
_cell_length_c 6.430
_cell_angle_alpha 90.00
_cell_angle_beta 90.00
_cell_angle_gamma 90.00
_space_group_name_H-M_alt 'I -4 2 d'
_space_group_IT_number 122
_space_group_name_Hall 'I -4 2bw'
loop_
_atom_site_label
_atom_site_fract_x
_atom_site_fract_y
_atom_site_fract_z
Y1 0.000 0.000 0.000
Tl1 0.247 0.250 0.625
Bi1 0.000 0.000 0.500

=====

Entry 9:
# Tl3ZnBi (PBE, relaxed)
# Formation energy from the elements = 1.124 eV/f.u.
# ρ = 9399 kg/m3
# Relative energy among the computed polymorphs = 0 meV per atom
data_Tl3ZnBi
_chemical_formula_sum 'Tl3 Zn1 Bi1'
_cell_length_a 5.392
_cell_length_b 5.392
_cell_length_c 5.392
_cell_angle_alpha 90.00
_cell_angle_beta 90.00
_cell_angle_gamma 90.00
_space_group_name_H-M_alt 'P m -3 m'
_space_group_IT_number 221
_space_group_name_Hall '-P 4 2 3'
loop_
_atom_site_label
_atom_site_fract_x
_atom_site_fract_y
_atom_site_fract_z
Tl1 0.000 0.000 0.500
Zn1 0.000 0.000 0.000
Bi1 0.500 0.500 0.500

=====

Entry 10:
# TlZn3Bi (PBE, relaxed)
# Formation energy from the elements = 2.536 eV/f.u.
# ρ = 6057 kg/m3
# Relative energy among the computed polymorphs = 0 meV per atom
data_TlZn3Bi
_chemical_formula_sum 'Tl1 Zn3 Bi1'
_cell_length_a 5.508
_cell_length_b 5.508
_cell_length_c 5.508
_cell_angle_alpha 90.00
_cell_angle_beta 90.00
_cell_angle_gamma 90.00
_space_group_name_H-M_alt 'P m -3 m'
_space_group_IT_number 221
_space_group_name_Hall '-P 4 2 3'
loop_
_atom_site_label
_atom_site_fract_x
_atom_site_fract_y
_atom_site_fract_z
Tl1 0.000 0.000 0.000
Zn1 0.000 0.500 0.500
Bi1 0.500 0.500 0.500

=====

Entry 11:
# Tl2Zn2Bi (PBE, relaxed)
# Formation energy from the elements = 0.383 eV/f.u.
# ρ = 9347 kg/m3
# Relative energy among the computed polymorphs = 0 meV per atom
data_Tl2Zn2Bi
_chemical_formula_sum 'Tl4 Zn4 Bi2'
_cell_length_a 7.401
_cell_length_b 7.401
_cell_length_c 4.856
_cell_angle_alpha 90.00
_cell_angle_beta 90.00
_cell_angle_gamma 90.00
_space_group_name_H-M_alt 'P 4/m b m'
_space_group_IT_number 127
_space_group_name_Hall '-P 4 2ab'
loop_
_atom_site_label
_atom_site_fract_x
_atom_site_fract_y
_atom_site_fract_z
Tl1 0.179 0.321 0.000
Zn1 0.121 0.621 0.500
Bi1 0.000 0.000 0.500

=====

Entry 12:
# Tl2ZnBi (PBE, relaxed)
# Formation energy from the elements = 0.380 eV/f.u.
# ρ = 10071 kg/m3
# Relative energy among the computed polymorphs = 27 meV per atom
data_Tl2ZnBi
_chemical_formula_sum 'Tl2 Zn1 Bi1'
_cell_length_a 3.579
_cell_length_b 3.579
_cell_length_c 8.792
_cell_angle_alpha 90.00
_cell_angle_beta 90.00
_cell_angle_gamma 90.00
_space_group_name_H-M_alt 'P 4/m m m'
_space_group_IT_number 123
_space_group_name_Hall '-P 4 2'
loop_
_atom_site_label
_atom_site_fract_x
_atom_site_fract_y
_atom_site_fract_z
Tl1 0.000 0.000 0.220
Zn1 0.500 0.500 0.000
Bi1 0.500 0.500 0.500

=====

Entry 13:
# TlZnBi (PBE, relaxed)
# Formation energy from the elements = 0.237 eV/f.u.
# ρ = 8509 kg/m3
data_TlZnBi
_chemical_formula_sum 'Tl1 Zn1 Bi1'
_cell_length_a 4.6310
_cell_length_b 4.6310
_cell_length_c 5.0305
_cell_angle_alpha 90.00
_cell_angle_beta 90.00
_cell_angle_gamma 120.00
_space_group_name_H-M_alt 'P 3 m 1'
_space_group_IT_number 156
_space_group_name_Hall 'P 3 -2"'
loop_
_atom_site_label
_atom_site_fract_x
_atom_site_fract_y
_atom_site_fract_z
Tl1 0.0000 0.0000 0.0000
Zn1 0.3333 0.6667 0.4059
Bi1 0.6667 0.3333 0.5219

=====

Entry 14:
# TlZnBi (PBE, relaxed)
# Formation energy from the elements = 0.198 eV/f.u.
# ρ = 9228 kg/m3
data_TlZnBi
_chemical_formula_sum 'Tl4 Zn4 Bi4'
_cell_length_a 7.011
_cell_length_b 7.011
_cell_length_c 7.011
_cell_angle_alpha 90.00
_cell_angle_beta 90.00
_cell_angle_gamma 90.00
_space_group_name_H-M_alt 'F -4 3 m'
_space_group_IT_number 216
_space_group_name_Hall 'F -4 2 3'
loop_
_atom_site_label
_atom_site_fract_x
_atom_site_fract_y
_atom_site_fract_z
Tl1 0.000 0.000 0.000
Zn1 0.250 0.250 0.750
Bi1 0.000 0.000 0.500

=====

Entry 15:
# Tl3ZnBi (PBE, relaxed)
# Formation energy from the elements = 2.557 eV/f.u.
# ρ = 6057 kg/m3
# Relative energy among the computed polymorphs = 287 meV per atom
data_Tl3ZnBi
_chemical_formula_sum 'Tl3 Zn1 Bi1'
_cell_length_a 6.243
_cell_length_b 6.243
_cell_length_c 6.243
_cell_angle_alpha 90.00
_cell_angle_beta 90.00
_cell_angle_gamma 90.00
_space_group_name_H-M_alt 'P m -3 m'
_space_group_IT_number 221
_space_group_name_Hall '-P 4 2 3'
loop_
_atom_site_label
_atom_site_fract_x
_atom_site_fract_y
_atom_site_fract_z
Tl1 0.000 0.000 0.500
Zn1 0.500 0.500 0.500
Bi1 0.000 0.000 0.000

=====

Entry 16:
# Tl2Zn2Bi (PBE, relaxed)
# Formation energy from the elements = 1.092 eV/f.u.
# ρ = 9563 kg/m3
# Relative energy among the computed polymorphs = 142 meV per atom
data_Tl2Zn2Bi
_chemical_formula_sum 'Tl4 Zn4 Bi2'
_cell_length_a 4.516
_cell_length_b 4.516
_cell_length_c 12.745
_cell_angle_alpha 90.00
_cell_angle_beta 90.00
_cell_angle_gamma 90.00
_space_group_name_H-M_alt 'I 4/m m m'
_space_group_IT_number 139
_space_group_name_Hall '-I 4 2'
loop_
_atom_site_label
_atom_site_fract_x
_atom_site_fract_y
_atom_site_fract_z
Tl1 0.000 0.500 0.250
Zn1 0.000 0.000 0.095
Bi1 0.000 0.000 0.500

=====

Entry 17:
# TlZn3Bi3 (PBE, relaxed)
# Formation energy from the elements = 1.479 eV/f.u.
# ρ = 7223 kg/m3
data_TlZn3Bi3
_chemical_formula_sum 'Tl2 Zn6 Bi6'
_cell_length_a 7.788
_cell_length_b 7.788
_cell_length_c 7.788
_cell_angle_alpha 90.00
_cell_angle_beta 90.00
_cell_angle_gamma 90.00
_space_group_name_H-M_alt 'P m -3 n'
_space_group_IT_number 223
_space_group_name_Hall '-P 4n 2 3'
loop_
_atom_site_label
_atom_site_fract_x
_atom_site_fract_y
_atom_site_fract_z
Tl1 0.000 0.000 0.000
Zn1 0.000 0.250 0.500
Bi1 0.000 0.500 0.250

=====

Entry 18:
# Tl2ZnBi (PBE, relaxed)
# Formation energy from the elements = 0.548 eV/f.u.
# ρ = 10045 kg/m3
# Relative energy among the computed polymorphs = 69 meV per atom
data_Tl2ZnBi
_chemical_formula_sum 'Tl2 Zn1 Bi1'
_cell_length_a 4.905
_cell_length_b 4.905
_cell_length_c 4.694
_cell_angle_alpha 90.00
_cell_angle_beta 90.00
_cell_angle_gamma 90.00
_space_group_name_H-M_alt 'P 4/m m m'
_space_group_IT_number 123
_space_group_name_Hall '-P 4 2'
loop_
_atom_site_label
_atom_site_fract_x
_atom_site_fract_y
_atom_site_fract_z
Tl1 0.000 0.500 0.000
Zn1 0.000 0.000 0.500
Bi1 0.500 0.500 0.500

=====

Entry 19:
# Tl2Zn2Bi (PBE, relaxed)
# Formation energy from the elements = 1.092 eV/f.u.
# ρ = 9584 kg/m3
# Relative energy among the computed polymorphs = 142 meV per atom
data_Tl2Zn2Bi
_chemical_formula_sum 'Tl4 Zn4 Bi2'
_cell_length_a 8.669
_cell_length_b 8.669
_cell_length_c 3.452
_cell_angle_alpha 90.00
_cell_angle_beta 90.00
_cell_angle_gamma 90.00
_space_group_name_H-M_alt 'P 4/m b m'
_space_group_IT_number 127
_space_group_name_Hall '-P 4 2ab'
loop_
_atom_site_label
_atom_site_fract_x
_atom_site_fract_y
_atom_site_fract_z
Tl1 0.139 0.361 0.000
Zn1 0.165 0.665 0.500
Bi1 0.000 0.000 0.000

=====

Entry 20:
# TlZnBi3 (PBE, relaxed)
# Formation energy from the elements = 1.665 eV/f.u.
# ρ = 8875 kg/m3
# Relative energy among the computed polymorphs = 0 meV per atom
data_TlZnBi3
_chemical_formula_sum 'Tl1 Zn1 Bi3'
_cell_length_a 5.516
_cell_length_b 5.516
_cell_length_c 5.516
_cell_angle_alpha 90.00
_cell_angle_beta 90.00
_cell_angle_gamma 90.00
_space_group_name_H-M_alt 'P m -3 m'
_space_group_IT_number 221
_space_group_name_Hall '-P 4 2 3'
loop_
_atom_site_label
_atom_site_fract_x
_atom_site_fract_y
_atom_site_fract_z
Tl1 0.000 0.000 0.000
Zn1 0.500 0.500 0.500
Bi1 0.000 0.500 0.500